Below is a relaxed structure of Nd3Be2CuPd9, with properties calculated at the GGA-PBE level.

a = 6.6677 Å, b = 6.6677 Å, c = 7.1198 Å
α = 90.00°, β = 90.00°, γ = 120.00°
Last column: nearest neighbours and their distance in Å.
Element x y z (fractional)
Nd 0.3333 0.6667 0.6674  6 Pd 2.98-3.05
Nd 0.0000 0.0000 0.0000  12 Pd 3.15-3.33
Nd 0.6667 0.3333 0.3326  6 Pd 2.98-3.05
Be 0.3333 0.6667 0.1422  6 Pd 2.17-2.18
Be 0.6667 0.3333 0.8578  6 Pd 2.17-2.18
Cu 0.0000 0.0000 0.5000  6 Pd 2.44
Pd 0.8172 0.1828 0.6724  1 Be 2.18, 1 Cu 2.44
Pd 0.8172 0.6345 0.6724  1 Be 2.18, 1 Cu 2.44
Pd 0.3655 0.1828 0.6724  1 Be 2.18, 1 Cu 2.44
Pd 0.6345 0.8172 0.3276  1 Be 2.18, 1 Cu 2.44
Pd 0.1828 0.3655 0.3276  1 Be 2.18, 1 Cu 2.44
Pd 0.1828 0.8172 0.3276  1 Be 2.18, 1 Cu 2.44
Pd 0.5000 0.0000 0.0000  2 Be 2.17
Pd 0.0000 0.5000 0.0000  2 Be 2.17
Pd 0.5000 0.5000 0.0000  2 Be 2.17

**Space-group type**: P-3m1
**D(E_F)**: 0.3249 states/eV per atom
**Energy relative to the elements**: -797 kJ/mol of formula units

---

Below is a relaxed structure of NdBe2CuPd5, with properties calculated at the GGA-PBE level.

a = 4.4187 Å, b = 4.4187 Å, c = 7.0707 Å
α = 90.00°, β = 90.00°, γ = 90.00°
Last column: nearest neighbours and their distance in Å.
Element x y z (fractional)
Nd 0.0000 0.0000 0.5000  12 Pd 3.02-3.12
Be 0.5000 0.5000 0.1608  5 Pd 2.24-2.40, 1 Be 2.27
Be 0.5000 0.5000 0.8392  5 Pd 2.24-2.40, 1 Be 2.27
Cu 0.0000 0.0000 0.0000  8 Pd 2.66
Pd 0.0000 0.5000 0.2088  2 Be 2.24
Pd 0.5000 0.0000 0.2088  2 Be 2.24
Pd 0.0000 0.5000 0.7912  2 Be 2.24
Pd 0.5000 0.0000 0.7912  2 Be 2.24
Pd 0.5000 0.5000 0.5000  2 Be 2.40

**Space-group type**: P4/mmm
**D(E_F)**: 0.3109 states/eV per atom
**Energy relative to the elements**: -382 kJ/mol of formula units

---

Below is a relaxed structure of PrNdBeCu, with properties calculated at the GGA-PBE level.

a = 5.0723 Å, b = 5.0723 Å, c = 5.0723 Å
α = 60.00°, β = 60.00°, γ = 60.00°
Last column: nearest neighbours and their distance in Å.
Element x y z (fractional)
Pr 0.0000 0.0000 0.0000  4 Be 3.11, 4 Cu 3.11
Be 0.7500 0.7500 0.7500  4 Nd 3.11, 4 Pr 3.11
Nd 0.5000 0.5000 0.5000  4 Be 3.11, 4 Cu 3.11
Cu 0.2500 0.2500 0.2500  4 Pr 3.11, 4 Nd 3.11

**Space-group type**: F-43m
**D(E_F)**: 0.9959 states/eV per atom
**Energy relative to the elements**: 22 kJ/mol of formula units

---

Below is a relaxed structure of Nd2BeCuPt6, with properties calculated at the GGA-PBE level.

a = 5.6314 Å, b = 7.6410 Å, c = 5.6258 Å
α = 68.40°, β = 59.97°, γ = 89.97°
Last column: nearest neighbours and their distance in Å.
Element x y z (fractional)
Nd 0.7922 0.3773 0.4156  9 Pt 3.04-3.30, 3 Cu 3.35-3.36
Nd 0.2078 0.6227 0.5844  9 Pt 3.04-3.30, 3 Cu 3.35-3.36
Be 0.0000 0.0000 0.0000  6 Pt 2.21
Cu 0.5000 0.5000 0.0000  6 Pt 2.55-2.56
Pt 0.2404 0.2112 0.5192  1 Be 2.21
Pt 0.7598 0.7893 0.9696  1 Be 2.21
Pt 0.2707 0.7893 0.9695  1 Be 2.21
Pt 0.7293 0.2107 0.0305  1 Be 2.21
Pt 0.2402 0.2107 0.0304  1 Be 2.21
Pt 0.7596 0.7888 0.4808  1 Be 2.21

**Space-group type**: R-3m
**D(E_F)**: 0.4816 states/eV per atom
**Energy relative to the elements**: -695 kJ/mol of formula units

---

Below is a relaxed structure of Nd2Be4CuPt3, with properties calculated at the GGA-PBE level.

a = 4.0710 Å, b = 4.0710 Å, c = 9.5884 Å
α = 90.00°, β = 90.00°, γ = 90.00°
Last column: nearest neighbours and their distance in Å.
Element x y z (fractional)
Nd 0.5000 0.0000 0.2504  6 Pt 3.13-3.14, 8 Be 3.14-3.15, 2 Cu 3.14
Nd 0.0000 0.5000 0.7496  6 Pt 3.13-3.14, 8 Be 3.14-3.15, 2 Cu 3.14
Be 0.5000 0.5000 0.0000  4 Pt 2.35
Be 0.0000 0.0000 0.0000  4 Pt 2.35
Be 0.5000 0.0000 0.6200  2 Cu 2.34, 3 Pt 2.34-2.46
Be 0.0000 0.5000 0.3800  2 Cu 2.34, 3 Pt 2.34-2.46
Cu 0.5000 0.5000 0.5000  4 Be 2.34
Pt 0.0000 0.0000 0.5000  4 Be 2.34
Pt 0.5000 0.0000 0.8767  5 Be 2.35-2.46
Pt 0.0000 0.5000 0.1233  5 Be 2.35-2.46

**Space-group type**: P-4m2
**D(E_F)**: 0.5497 states/eV per atom
**Energy relative to the elements**: -650 kJ/mol of formula units

---

Below is a relaxed structure of Nd2Be3Cu12Pt, with properties calculated at the GGA-PBE level.

a = 7.4346 Å, b = 7.4346 Å, c = 7.4346 Å
α = 60.98°, β = 60.98°, γ = 60.98°
Last column: nearest neighbours and their distance in Å.
Element x y z (fractional)
Nd 0.6059 0.6059 0.6059  6 Cu 2.88-2.89
Nd 0.3941 0.3941 0.3941  6 Cu 2.88-2.89
Be 0.5000 0.0000 0.0000  6 Cu 2.10
Be 0.0000 0.5000 0.0000  6 Cu 2.10
Be 0.0000 0.0000 0.5000  6 Cu 2.10
Cu 0.3350 0.3350 0.8962  2 Be 2.10
Cu 0.8763 0.8763 0.3987  1 Be 2.10
Cu 0.3987 0.8763 0.8763  1 Be 2.10
Cu 0.8962 0.3350 0.3350  2 Be 2.10
Cu 0.8763 0.3987 0.8763  1 Be 2.10
Cu 0.3350 0.8962 0.3350  2 Be 2.10
Cu 0.6650 0.6650 0.1038  2 Be 2.10
Cu 0.1237 0.1237 0.6013  1 Be 2.10
Cu 0.6013 0.1237 0.1237  1 Be 2.10
Cu 0.1038 0.6650 0.6650  2 Be 2.10
Cu 0.1237 0.6013 0.1237  1 Be 2.10
Cu 0.6650 0.1038 0.6650  2 Be 2.10
Pt 0.0000 0.0000 0.0000  6 Cu 2.45

**Space-group type**: R-3m
**D(E_F)**: 0.4804 states/eV per atom
**Energy relative to the elements**: 538 kJ/mol of formula units